# Bi2BBr, optimized geometry, DFT PBE
# Formation energy (no corrections) = 0.924 eV per atom
# DFT total energy = -3.10 eV/atom
# Energy relative to the lowest polymorph listed for this composition = 405.9 meV/atom
# Mass density = 8.95 g/cm³
data_Bi2BBr
_chemical_formula_sum 'Bi8 B4 Br4'
_cell_length_a 7.228
_cell_length_b 7.228
_cell_length_c 7.228
_cell_angle_alpha 90.00
_cell_angle_beta 90.00
_cell_angle_gamma 90.00
_space_group_name_H-M_alt 'F m -3 m'
_space_group_IT_number 225
_space_group_name_Hall '-F 4 2 3'
loop_
_atom_site_label
_atom_site_type_symbol
_atom_site_fract_x
_atom_site_fract_y
_atom_site_fract_z
Bi1 Bi 0.250 0.250 0.250
B1 B 0.000 0.000 0.000
Br1 Br 0.000 0.000 0.500